A plane-wave DFT calculation with PBE-GGA was carried out for crystalline NaCaI2Br at its relaxed geometry.

a = 6.1918 Å, b = 6.1918 Å, c = 5.6007 Å
α = 90.00°, β = 90.00°, γ = 90.00°
With the nearest neighbours (Å) after each atom.
Space group P4/mmm (No. 123)
Unique sites:
1 Na 0.0000 0.0000 0.0000 (multiplicity 1)  8 I 4.17, 4 Br 4.38
2 Ca 0.5000 0.5000 0.5000 (multiplicity 1)  2 Br 2.80, 4 I 3.10
3 I 0.0000 0.5000 0.5000 (multiplicity 2)  2 Ca 3.10
4 Br 0.5000 0.5000 0.0000 (multiplicity 1)  2 Ca 2.80

Properties
As for the density of states at the Fermi level: 0.0 states/eV/f.u. For the raw total energy, the calculation gives -3.034 eV per atom. As for the uncorrected formation energy: -1.415 eV per atom.

***

A plane-wave DFT calculation with PBE-GGA was carried out for crystalline TiC3Cl at its relaxed geometry.

a = 3.7113 Å, b = 3.7113 Å, c = 3.7113 Å
α = 90.00°, β = 90.00°, γ = 90.00°
With the nearest neighbours (Å) after each atom.
Space group Pm-3m (No. 221)
Unique sites:
1 Ti 0.0000 0.0000 0.0000 (multiplicity 1)  12 C 2.62
2 C 0.0000 0.5000 0.5000 (multiplicity 3)  2 Cl 1.86
3 Cl 0.5000 0.5000 0.5000 (multiplicity 1)  6 C 1.86

Properties
As for the density of states at the Fermi level: 3.4 states/eV/f.u. For the raw total energy, the calculation gives -4.701 eV per atom. As for the uncorrected formation energy: 2.782 eV per atom. The value obtained for the energy relative to the lowest polymorph listed for this composition is 2.25 eV/f.u.

***

A plane-wave DFT calculation with PBE-GGA was carried out for crystalline ThCuAg at its relaxed geometry.

a = 3.5495 Å, b = 16.8911 Å, c = 4.3277 Å
α = 90.00°, β = 90.00°, γ = 90.00°
With the nearest neighbours (Å) after each atom.
Space group Cmcm (No. 63)
Unique sites:
1 Th 0.0000 0.1038 0.2500 (multiplicity 4)  6 Cu 2.99-3.02, 5 Ag 3.17-3.31
2 Cu 0.0000 0.4589 0.2500 (multiplicity 4)  2 Cu 2.57, 1 Ag 2.82
3 Ag 0.0000 0.2917 0.2500 (multiplicity 4)  1 Cu 2.82, 4 Ag 3.13

Properties
As for the density of states at the Fermi level: 2.2 states/eV/f.u. For the raw total energy, the calculation gives -4.942 eV per atom. The formation energy is -0.15 eV per atom. The value obtained for the energy relative to the lowest polymorph listed for this composition is 0.00 eV/f.u.

***

A plane-wave DFT calculation with PBE-GGA was carried out for crystalline Dy2HoAg3Se6 at its relaxed geometry.

a = 17.6806 Å, b = 4.1685 Å, c = 8.0671 Å
α = 90.00°, β = 100.46°, γ = 90.00°
With the nearest neighbours (Å) after each atom.
Space group C2/m (No. 12)
Unique sites:
1 Dy 0.1669 0.0000 0.3308 (multiplicity 4)  6 Se 2.88-2.89
2 Ho 0.0000 0.5000 0.0000 (multiplicity 2)  6 Se 2.87-2.88
3 Ag 0.0000 0.5000 0.5000 (multiplicity 2)  6 Se 2.91-2.93
4 Ag 0.1684 0.0000 0.8279 (multiplicity 4)  6 Se 2.89-2.95
5 Se 0.0011 0.0000 0.2460 (multiplicity 4)  2 Ho 2.88, 1 Dy 2.89, 3 Ag 2.93-2.95
6 Se 0.1650 0.5000 0.0831 (multiplicity 4)  1 Ho 2.87, 2 Dy 2.88, 3 Ag 2.90-2.94
7 Se 0.1675 0.5000 0.5786 (multiplicity 4)  3 Dy 2.89, 3 Ag 2.89-2.91

Properties
As for the density of states at the Fermi level: 0.0 states/eV/f.u. For the raw total energy, the calculation gives -4.768 eV per atom. As for the uncorrected formation energy: -1.165 eV per atom.